A geometry-optimized Ca2Zn2Pb structure. Source: Alexandria via LeMat-Bulk, functional PBE.

Lattice parameters (Å, degrees): 7.893 7.893 4.118 90.00 90.00 90.00
Fractional coordinates of all 10 atoms:
Pb 0.000 0.000 0.000
Pb 0.500 0.500 0.000
Zn 0.385 0.885 0.000
Zn 0.885 0.615 0.000
Zn 0.615 0.115 0.000
Zn 0.115 0.385 0.000
Ca 0.178 0.678 0.500
Ca 0.678 0.822 0.500
Ca 0.822 0.322 0.500
Ca 0.322 0.178 0.500

Properties
Energy of formation from the pure elements in eV/atom: -0.314
Space group: No. 127
Calculated total energy in hartree per atom: -0.0870
Total magnetic moment in Bohr magnetons per cell: 0.00
Offset from the most stable computed form in meV per atom: 57

A geometry-optimized HoHfMg structure. Source: Alexandria via LeMat-Bulk, functional PBE.

Lattice parameters (Å, degrees): 3.325 3.325 7.210 103.33 103.33 90.00
Fractional coordinates of all 3 atoms:
Mg 0.675 0.675 0.350
Hf 0.332 0.332 0.663
Ho 0.993 0.993 0.987

Properties
Energy of formation from the pure elements in eV/atom: 0.041
Space group: No. 107
Calculated total energy in hartree per atom: -0.1960
Total magnetic moment in Bohr magnetons per cell: 0.00
Offset from the most stable computed form in meV per atom: 26

A geometry-optimized LaTiSb2I structure. Source: Alexandria via LeMat-Bulk, functional PBE.

Lattice parameters (Å, degrees): 5.304 5.304 5.452 90.00 90.00 90.00
Fractional coordinates of all 5 atoms:
I 0.000 0.000 0.500
Sb 0.000 0.500 0.000
Sb 0.500 0.000 0.000
Ti 0.000 0.000 0.000
La 0.500 0.500 0.500

Properties
Space group: No. 123
Calculated total energy in hartree per atom: -0.1807
E_form (uncorrected) in eV/atom: -0.39
Total magnetic moment in Bohr magnetons per cell: 0.00